(1)
Material: La2YIn
Method: DFT, PBEsol
State: relaxed

Calculated values
Formation enthalpy at 0 K: -1.2 eV per formula unit
VASP energy: -0.399 Ry/atom
DOS at the Fermi energy: 8.67 states/eV/cell

Unit cell a=4.784 b=4.784 c=10.238 alpha=90.00 beta=90.00 gamma=90.00
Space group I4/mmm (No. 139)
Asymmetric unit:
La 0.000 0.500 0.250 (multiplicity 4)
Y 0.000 0.000 0.000 (multiplicity 2)
In 0.000 0.000 0.500 (multiplicity 2)



(2)
Material: La2YIn
Method: DFT, PBEsol
State: relaxed

Calculated values
Formation enthalpy at 0 K: -1.1 eV per formula unit
VASP energy: -0.397 Ry/atom
DOS at the Fermi energy: 11.85 states/eV/cell

Unit cell a=4.859 b=4.859 c=9.961 alpha=90.00 beta=90.00 gamma=90.00
Space group I-4m2 (No. 119)
Asymmetric unit:
La 0.000 0.000 0.000 (multiplicity 2)
La 0.000 0.500 0.250 (multiplicity 2)
Y 0.000 0.000 0.500 (multiplicity 2)
In 0.000 0.500 0.750 (multiplicity 2)



(3)
Material: LaY2In
Method: DFT, PBEsol
State: relaxed

Calculated values
Formation enthalpy at 0 K: -1.1 eV per formula unit
VASP energy: -0.425 Ry/atom
DOS at the Fermi energy: 4.28 states/eV/cell

Unit cell a=3.585 b=3.585 c=8.982 alpha=90.00 beta=90.00 gamma=90.00
Space group P4/mmm (No. 123)
Asymmetric unit:
La 0.000 0.000 0.000 (multiplicity 1)
Y 0.500 0.500 0.279 (multiplicity 2)
In 0.000 0.000 0.500 (multiplicity 1)



(4)
Material: LaY2In
Method: DFT, PBEsol
State: relaxed

Calculated values
Formation enthalpy at 0 K: -0.8 eV per formula unit
VASP energy: -0.418 Ry/atom
DOS at the Fermi energy: 6.42 states/eV/cell

Unit cell a=3.803 b=5.355 c=5.700 alpha=90.00 beta=90.00 gamma=90.00
Space group Pmmm (No. 47)
Asymmetric unit:
La 0.000 0.000 0.000 (multiplicity 1)
Y 0.000 0.500 0.500 (multiplicity 1)
Y 0.500 0.500 0.000 (multiplicity 1)
In 0.500 0.000 0.500 (multiplicity 1)



(5)
Material: LaYIn
Method: DFT, PBEsol
State: relaxed

Calculated values
Formation enthalpy at 0 K: -1.0 eV per formula unit
VASP energy: -0.395 Ry/atom
ΔE to the lowest computed polymorph: 0.01 eV per formula unit
DOS at the Fermi energy: 5.06 states/eV/cell

Unit cell a=3.555 b=3.555 c=14.018 alpha=90.00 beta=90.00 gamma=90.00
Space group I4mm (No. 107)
Asymmetric unit:
La 0.000 0.000 0.000 (multiplicity 2)
Y 0.000 0.000 0.696 (multiplicity 2)
In 0.000 0.000 0.337 (multiplicity 2)



(6)
Material: La2YIn
Method: DFT, PBEsol
State: relaxed

Calculated values
Formation enthalpy at 0 K: -1.0 eV per formula unit
VASP energy: -0.395 Ry/atom
DOS at the Fermi energy: 9.49 states/eV/cell

Unit cell a=3.908 b=5.540 c=11.467 alpha=90.00 beta=90.00 gamma=90.00
Space group Imm2 (No. 44)
Asymmetric unit:
La 0.000 0.000 0.000 (multiplicity 2)
La 0.000 0.500 0.221 (multiplicity 2)
Y 0.000 0.500 0.776 (multiplicity 2)
In 0.000 0.000 0.488 (multiplicity 2)



(7)
Material: LaY2In
Method: DFT, PBEsol
State: relaxed

Calculated values
Formation enthalpy at 0 K: -0.9 eV per formula unit
VASP energy: -0.421 Ry/atom
DOS at the Fermi energy: 5.03 states/eV/cell

Unit cell a=3.526 b=3.526 c=9.558 alpha=90.00 beta=90.00 gamma=90.00
Space group P4mm (No. 99)
Asymmetric unit:
La 0.000 0.000 0.000 (multiplicity 1)
Y 0.000 0.000 0.548 (multiplicity 1)
Y 0.500 0.500 0.287 (multiplicity 1)
In 0.500 0.500 0.763 (multiplicity 1)



(8)
Material: LaYIn3
Method: DFT, PBEsol
State: relaxed

Calculated values
Formation enthalpy at 0 K: 1.1 eV per formula unit
VASP energy: -0.294 Ry/atom
DOS at the Fermi energy: 5.36 states/eV/cell

Unit cell a=5.518 b=5.518 c=5.518 alpha=90.00 beta=90.00 gamma=90.00
Space group Pm-3m (No. 221)
Asymmetric unit:
La 0.000 0.000 0.000 (multiplicity 1)
Y 0.500 0.500 0.500 (multiplicity 1)
In 0.000 0.500 0.500 (multiplicity 3)



(9)
Material: LaY2In
Method: DFT, PBEsol
State: relaxed

Calculated values
Formation enthalpy at 0 K: -0.9 eV per formula unit
VASP energy: -0.421 Ry/atom
DOS at the Fermi energy: 13.25 states/eV/cell

Unit cell a=4.830 b=4.830 c=9.792 alpha=90.00 beta=90.00 gamma=90.00
Space group I4/mmm (No. 139)
Asymmetric unit:
La 0.000 0.000 0.000 (multiplicity 2)
Y 0.000 0.500 0.250 (multiplicity 4)
In 0.000 0.000 0.500 (multiplicity 2)



(10)
Material: La2YIn
Method: DFT, PBEsol
State: relaxed

Calculated values
Formation enthalpy at 0 K: -1.0 eV per formula unit
VASP energy: -0.396 Ry/atom
DOS at the Fermi energy: 4.63 states/eV/cell

Unit cell a=3.643 b=3.643 c=9.055 alpha=90.00 beta=90.00 gamma=90.00
Space group P4mm (No. 99)
Asymmetric unit:
La 0.000 0.000 0.000 (multiplicity 1)
La 0.500 0.500 0.280 (multiplicity 1)
Y 0.000 0.000 0.549 (multiplicity 1)
In 0.500 0.500 0.759 (multiplicity 1)



(11)
Material: LaY2In
Method: DFT, PBEsol
State: relaxed

Calculated values
Formation enthalpy at 0 K: -1.1 eV per formula unit
VASP energy: -0.425 Ry/atom
DOS at the Fermi energy: 9.57 states/eV/cell

Unit cell a=4.751 b=4.751 c=9.997 alpha=90.00 beta=90.00 gamma=90.00
Space group I-4m2 (No. 119)
Asymmetric unit:
La 0.000 0.000 0.000 (multiplicity 2)
Y 0.000 0.000 0.500 (multiplicity 2)
Y 0.000 0.500 0.250 (multiplicity 2)
In 0.000 0.500 0.750 (multiplicity 2)



(12)
Material: LaY2In
Method: DFT, PBEsol
State: relaxed

Calculated values
Formation enthalpy at 0 K: -1.1 eV per formula unit
VASP energy: -0.423 Ry/atom
DOS at the Fermi energy: 8.94 states/eV/cell

Unit cell a=3.857 b=5.504 c=11.299 alpha=90.00 beta=90.00 gamma=90.00
Space group Immm (No. 71)
Asymmetric unit:
La 0.000 0.000 0.000 (multiplicity 2)
Y 0.000 0.500 0.221 (multiplicity 4)
In 0.000 0.000 0.500 (multiplicity 2)